1.
Entry from Alexandria: a relaxed NiHgPt4 crystal (GGA-PBE).

Structure (POSCAR):
```
NiHgPt4
1.0
0.0000 3.7292 3.7292
3.7292 0.0000 3.7292
3.7292 3.7292 0.0000
Ni Hg Pt
1 1 4
Direct
0.0000 0.0000 0.0000 Ni
0.7500 0.7500 0.7500 Hg
0.3747 0.3747 0.3747 Pt
0.3747 0.3747 0.8760 Pt
0.3747 0.8760 0.3747 Pt
0.8760 0.3747 0.3747 Pt
```

Summary:
**Space-group type**: No. 216
**E_form**: 0.2291 eV per atom
**Calculated density**: 16644 kg/m3
**Magnetic moment**: 0.1 μB per formula unit

2.
Entry from Alexandria: a relaxed CuNi2Os crystal (GGA-PBE).

Structure (POSCAR):
```
CuNi2Os
1.0
4.3462 0.0000 0.0000
0.0000 4.3462 0.0000
0.0000 0.0000 2.6026
Cu Ni Os
1 2 1
Direct
0.0000 0.0000 0.0000 Cu
0.0000 0.5000 0.5000 Ni
0.5000 0.0000 0.5000 Ni
0.5000 0.5000 0.0000 Os
```

Summary:
**Space-group type**: No. 123
**E_form**: 0.2371 eV per atom
**Energy above the lowest structure with this stoichiometry**: 146 meV per atom
**Calculated density**: 12536 kg/m3
**Magnetic moment**: 1.3 μB per formula unit

3.
Entry from Alexandria: a relaxed ZrCdCo crystal (GGA-PBE).

Structure (POSCAR):
```
ZrCdCo
1.0
6.5204 -1.7312 0.0000
6.5204 1.7312 0.0000
-1.1379 0.0000 4.8968
Zr Cd Co
2 2 2
Direct
0.1491 0.1491 0.3340 Zr
0.8509 0.8509 0.6660 Zr
0.4328 0.4328 0.2134 Cd
0.5672 0.5672 0.7866 Cd
0.2379 0.2379 0.8420 Co
0.7621 0.7621 0.1580 Co
```

Summary:
**Space-group type**: No. 12
**E_form**: -0.1827 eV per atom
**Energy above the lowest structure with this stoichiometry**: 63 meV per atom
**Calculated density**: 7888 kg/m3
**Magnetic moment**: 0.0 μB per formula unit

4.
Entry from Alexandria: a relaxed Li2MgZn9 crystal (GGA-PBE).

Structure (POSCAR):
```
Li2MgZn9
1.0
2.5745 1.4864 8.4765
-2.5745 1.4864 8.4765
0.0000 -2.9728 8.4765
Li Mg Zn
2 1 9
Direct
0.1467 0.1467 0.1467 Li
0.8533 0.8533 0.8533 Li
0.0000 0.0000 0.0000 Mg
0.0813 0.5883 0.5883 Zn
0.3340 0.3340 0.3340 Zn
0.4117 0.4117 0.9187 Zn
0.4117 0.9187 0.4117 Zn
0.5000 0.5000 0.5000 Zn
0.5883 0.0813 0.5883 Zn
0.5883 0.5883 0.0813 Zn
0.6660 0.6660 0.6660 Zn
0.9187 0.4117 0.4117 Zn
```

Summary:
**Space-group type**: No. 166
**E_form**: -0.1009 eV per atom
**Energy above the lowest structure with this stoichiometry**: 13 meV per atom
**Calculated density**: 5348 kg/m3
**Magnetic moment**: 0.0 μB per formula unit

Q: Which value of E_form does entry 4 give?
A: -0.1009 eV per atom